# 1
The following is a DFT calculation (PBE) of a relaxed YMoRh2 crystal.

Results
- formation enthalpy at 0 K (eV/atom) = -0.23
- final energy (eV per atom) = -8.2290
- calculated density (g cm⁻³) = 9.28

Geometry as CIF:
```
data_YMoRh2
_cell_length_a 3.016
_cell_length_b 4.664
_cell_length_c 5.038
_cell_angle_alpha 90.00
_cell_angle_beta 99.26
_cell_angle_gamma 90.00
_symmetry_space_group_name_H-M 'P 1 m 1'
_symmetry_Int_Tables_number 6
loop_
_symmetry_equiv_pos_as_xyz
'x,y,z'
'x,-y,z'
loop_
_atom_site_label
_atom_site_type_symbol
_atom_site_fract_x
_atom_site_fract_y
_atom_site_fract_z
Y1 Y 0.000 0.000 0.000
Mo1 Mo 0.773 0.500 0.406
Rh1 Rh 0.397 0.000 0.514
Rh2 Rh 0.461 0.500 0.883
```

# 2
The following is a DFT calculation (PBE) of a relaxed La3Nd4Sc crystal.

Results
- formation enthalpy at 0 K (eV/atom) = 0.12
- final energy (eV per atom) = -4.9076
- calculated density (g cm⁻³) = 6.17

Geometry as CIF:
```
data_La3Nd4Sc
_cell_length_a 3.561
_cell_length_b 11.910
_cell_length_c 13.177
_cell_angle_alpha 90.00
_cell_angle_beta 90.00
_cell_angle_gamma 90.00
_symmetry_space_group_name_H-M 'I m m m'
_symmetry_Int_Tables_number 71
_symmetry_space_group_name_Hall '-I 2 2'
loop_
_atom_site_label
_atom_site_type_symbol
_atom_site_fract_x
_atom_site_fract_y
_atom_site_fract_z
La1 La 0.000 0.000 0.000
La2 La 0.000 0.500 0.237
Nd1 Nd 0.000 0.244 0.368
Sc1 Sc 0.000 0.000 0.500
```